VASP calculation (PBE) on an optimized crystal structure of PmSc2Sn2.

Output
Formation energy from the elements ... -337 meV per atom

Unit cell a=10.082 b=11.451 c=6.123 alpha=90.00 beta=123.80 gamma=90.00
Space group C2/c (No. 15)
Unique sites:
Pm 0.000 0.110 0.250
Sc 0.174 0.397 0.988
Sn 0.000 0.172 0.750
Sn 0.000 0.385 0.250